Entry 1:
Here is Ac2Dy2Sn3 after structural relaxation from the Alexandria database. Energies are from PBE-GGA.

Properties
The formation energy is -0.537 eV/atom. As for the space group: P-1.

Unit cell a=5.016 b=6.246 c=9.018 alpha=97.35 beta=90.05 gamma=113.66
Fractional coordinates of all 7 atoms:
Ac 0.130 0.258 0.350
Ac 0.870 0.742 0.650
Dy 0.354 0.708 0.055
Dy 0.646 0.292 0.945
Sn 0.000 0.000 0.000
Sn 0.188 0.378 0.735
Sn 0.812 0.622 0.265


Entry 2:
Here is AcDySn after structural relaxation from the Alexandria database. Energies are from PBE-GGA.

Properties
The formation energy is -0.162 eV/atom. As for the polymorph energy (0 for the lowest one): 406 meV/atom. As for the space group: I4/mmm.

Unit cell a=8.922 b=8.922 c=8.922 alpha=97.26 beta=97.26 gamma=138.36
Fractional coordinates of all 12 atoms:
Ac 0.000 0.241 0.241
Ac 0.000 0.759 0.759
Ac 0.241 0.000 0.241
Ac 0.759 0.000 0.759
Dy 0.311 0.311 0.622
Dy 0.311 0.689 0.000
Dy 0.689 0.311 0.000
Dy 0.689 0.689 0.378
Sn 0.126 0.500 0.626
Sn 0.500 0.126 0.626
Sn 0.500 0.874 0.374
Sn 0.874 0.500 0.374


Entry 3:
Here is Ac2Dy2Sn7 after structural relaxation from the Alexandria database. Energies are from PBE-GGA.

Properties
The formation energy is -0.204 eV/atom. As for the space group: Cmmm.

Unit cell a=7.950 b=7.950 c=6.132 alpha=90.00 beta=90.00 gamma=96.38
Fractional coordinates of all 11 atoms:
Ac 0.196 0.196 0.000
Ac 0.804 0.804 0.000
Dy 0.258 0.742 0.500
Dy 0.742 0.258 0.500
Sn 0.000 0.000 0.500
Sn 0.000 0.500 0.244
Sn 0.000 0.500 0.756
Sn 0.500 0.000 0.244
Sn 0.500 0.000 0.756
Sn 0.500 0.500 0.248
Sn 0.500 0.500 0.752


Which formula does entry 1 have?
Ac2Dy2Sn3